# HoMnSnF6, relaxed, DFT PBE with a Hubbard U
data_HoMnSnF6
_chemical_formula_sum 'Ho2 Mn2 Sn2 F12'
_cell_length_a 5.8288
_cell_length_b 5.8288
_cell_length_c 11.6799
_cell_angle_alpha 90.00
_cell_angle_beta 90.00
_cell_angle_gamma 120.00
_symmetry_space_group_name_H-M 'P -3 1 c'
_symmetry_Int_Tables_number 163
_symmetry_space_group_name_Hall '-P 3 2c'
loop_
_atom_site_label
_atom_site_fract_x
_atom_site_fract_y
_atom_site_fract_z
Ho1 0.3333 0.6667 0.2500
Mn1 0.3333 0.6667 0.7500
Sn1 0.0000 0.0000 0.0000
F1 0.0034 0.3648 0.6536
# total magnetic moment	6.00	μB/f.u.
# crystal system	trigonal
# DFT total energy	-5.858	eV/atom